Computed, not measured: Ce7TlRh5 after structural relaxation at the PBE level of DFT.

```
data_Ce7TlRh5
_chemical_formula_sum 'Ce14 Tl2 Rh10'
_cell_length_a 5.8465
_cell_length_b 10.1826
_cell_length_c 10.0603
_cell_angle_alpha 90.00
_cell_angle_beta 90.00
_cell_angle_gamma 90.00
_symmetry_space_group_name_H-M 'I m m 2'
_symmetry_Int_Tables_number 44
_symmetry_space_group_name_Hall 'I 2 -2'
loop_
_atom_site_label
_atom_site_type_symbol
_atom_site_fract_x
_atom_site_fract_y
_atom_site_fract_z
_atom_site_occupancy
Ce1 Ce 0.0000 0.0000 0.0000 1
Ce2 Ce 0.0000 0.0000 0.3518 1
Ce3 Ce 0.0000 0.3208 0.6300 1
Ce4 Ce 0.0000 0.3380 0.0819 1
Ce5 Ce 0.0000 0.5000 0.3141 1
Tl1 Tl 0.0000 0.0000 0.6762 1
Rh1 Rh 0.0000 0.5000 0.8468 1
Rh2 Rh 0.2479 0.2313 0.8789 1
```

Computed properties:
Its formation energy from the elements is -6.2 eV per formula unit. The electronic total energy comes out at -6.68 eV/atom. Its calculated density is 9.43 g/cm3.